Record 1
VASP calculation (GGA-PBE) on an optimized crystal structure of Na3Tl2Te4.

Values from the calculation:
Crystal system = triclinic
Formation energy from raw total energies = -512 meV/atom

Lattice parameters (Å, degrees): 6.635 5.631 9.642 108.85 109.39 91.47
Fractional coordinates of all 9 atoms:
Na 0.393 0.647 0.284
Na 0.607 0.353 0.716
Na 0.000 0.000 0.000
Tl 0.757 0.209 0.390
Tl 0.243 0.791 0.610
Te 0.423 0.733 0.968
Te 0.232 0.190 0.374
Te 0.577 0.267 0.032
Te 0.768 0.810 0.626

---

Record 2
VASP calculation (GGA-PBE) on an optimized crystal structure of Na2NiAs.

Values from the calculation:
Formation enthalpy at 0 K = -0.237 eV/atom
Crystal system = trigonal

Lattice parameters (Å, degrees): 5.012 5.012 4.359 90.00 90.00 120.00
Fractional coordinates of all 4 atoms:
Na 0.333 0.667 0.239
Na 0.667 0.333 0.761
Ni 0.000 0.000 0.000
As 0.000 0.000 0.500

---

Record 3
VASP calculation (GGA-PBE) on an optimized crystal structure of AcDy6Tl3.

Values from the calculation:
Formation enthalpy at 0 K = -0.141 eV/atom
Crystal system = orthorhombic

Lattice parameters (Å, degrees): 8.627 8.650 8.650 95.85 90.00 90.00
Fractional coordinates of all 20 atoms:
Ac 0.002 0.307 0.693
Ac 0.502 0.693 0.307
Dy 0.160 0.738 0.611
Dy 0.660 0.611 0.738
Dy 0.302 0.572 0.933
Dy 0.802 0.933 0.572
Dy 0.207 0.020 0.980
Dy 0.575 0.236 0.764
Dy 0.075 0.764 0.236
Dy 0.707 0.980 0.020
Dy 0.302 0.067 0.428
Dy 0.802 0.428 0.067
Dy 0.160 0.389 0.262
Dy 0.660 0.262 0.389
Tl 0.458 0.899 0.724
Tl 0.958 0.724 0.899
Tl 0.361 0.430 0.570
Tl 0.861 0.570 0.430
Tl 0.958 0.101 0.276
Tl 0.458 0.276 0.101

---

Record 4
VASP calculation (GGA-PBE) on an optimized crystal structure of CeNpU2P4.

Values from the calculation:
Formation enthalpy at 0 K = -1.055 eV/atom
Crystal system = monoclinic

Lattice parameters (Å, degrees): 3.960 6.876 6.898 109.35 90.00 90.00
Last column: magnetic moment on the atom in μB.
Fractional coordinates of all 8 atoms:
Ce 0.500 0.500 0.000  -0.20
Np 0.000 0.000 0.000  3.59
U 0.500 0.000 0.500  -1.71
U 0.000 0.500 0.500  1.83
P 0.500 0.753 0.745  -0.05
P 0.500 0.247 0.255  -0.05
P 0.000 0.244 0.741  0.00
P 0.000 0.756 0.259  0.00

---

Record 5
VASP calculation (GGA-PBE) on an optimized crystal structure of Cs2K2RhO4.

Values from the calculation:
Crystal system = tetragonal
Formation energy from raw total energies = -810 meV/atom

Lattice parameters (Å, degrees): 6.553 6.553 6.553 90.82 119.53 119.53
Last column: magnetic moment on the atom in μB.
Fractional coordinates of all 9 atoms:
Cs 0.000 0.669 0.669  0.00
Cs 0.000 0.331 0.331  0.00
K 0.500 0.750 0.250  0.00
K 0.500 0.250 0.750  0.00
Rh 0.000 0.000 0.000  1.51
O 0.000 0.790 0.210  0.28
O 0.579 0.790 0.790  0.28
O 0.000 0.210 0.790  0.28
O 0.421 0.210 0.210  0.28

---

Record 6
VASP calculation (GGA-PBE) on an optimized crystal structure of BeTlCd3.

Values from the calculation:
Formation enthalpy at 0 K = 0.208 eV/atom
Crystal system = cubic

Lattice parameters (Å, degrees): 4.874 4.874 4.874 90.00 90.00 90.00
Fractional coordinates of all 5 atoms:
Be 0.000 0.000 0.000
Tl 0.500 0.500 0.500
Cd 0.000 0.500 0.000
Cd 0.000 0.000 0.500
Cd 0.500 0.000 0.000

---

Record 7
VASP calculation (GGA-PBE) on an optimized crystal structure of BaInAsSe2.

Values from the calculation:
Crystal system = tetragonal
Formation energy from raw total energies = -526 meV/atom

Lattice parameters (Å, degrees): 5.479 5.479 5.197 90.00 90.00 90.00
Last column: magnetic moment on the atom in μB.
Fractional coordinates of all 5 atoms:
As 0.000 0.000 0.500  0.26
Ba 0.500 0.500 0.500  0.01
Se 0.000 0.500 0.000  0.07
Se 0.500 0.000 0.000  0.07
In 0.000 0.000 0.000  0.00

---

Record 8
VASP calculation (GGA-PBE) on an optimized crystal structure of PmY2ThBi5.

Values from the calculation:
Formation enthalpy at 0 K = 0.172 eV/atom
Crystal system = tetragonal

Lattice parameters (Å, degrees): 5.718 5.718 12.065 90.00 90.00 90.00
Fractional coordinates of all 9 atoms:
Pm 0.000 0.000 0.000
Y 0.500 0.500 0.265
Y 0.500 0.500 0.735
Th 0.000 0.000 0.500
Bi 0.000 0.500 0.500
Bi 0.500 0.000 0.500
Bi 0.000 0.000 0.756
Bi 0.000 0.000 0.244
Bi 0.500 0.500 0.000

---

Record 9
VASP calculation (GGA-PBE) on an optimized crystal structure of Ca3Pr12Ho.

Values from the calculation:
Formation enthalpy at 0 K = 0.047 eV/atom
Crystal system = tetragonal

Lattice parameters (Å, degrees): 5.256 5.256 21.032 90.00 90.00 90.00
Fractional coordinates of all 16 atoms:
Ca 0.000 0.000 0.248
Ca 0.000 0.000 0.500
Ca 0.000 0.000 0.752
Pr 0.500 0.500 0.000
Pr 0.500 0.500 0.249
Pr 0.500 0.500 0.500
Pr 0.500 0.500 0.751
Pr 0.500 0.000 0.120
Pr 0.500 0.000 0.374
Pr 0.500 0.000 0.626
Pr 0.500 0.000 0.880
Pr 0.000 0.500 0.120
Pr 0.000 0.500 0.374
Pr 0.000 0.500 0.626
Pr 0.000 0.500 0.880
Ho 0.000 0.000 0.000

---

Record 10
VASP calculation (GGA-PBE) on an optimized crystal structure of LiSb3.

Values from the calculation:
Crystal system = monoclinic
Formation energy from raw total energies = -56 meV/atom

Lattice parameters (Å, degrees): 5.626 5.626 5.063 75.06 75.06 42.15
Fractional coordinates of all 4 atoms:
Li 0.000 0.000 0.000
Sb 0.500 0.500 0.500
Sb 0.761 0.761 0.748
Sb 0.239 0.239 0.252

---

Record 11
VASP calculation (GGA-PBE) on an optimized crystal structure of SmHoPa2P4.

Values from the calculation:
Formation enthalpy at 0 K = -1.446 eV/atom
Crystal system = monoclinic

Lattice parameters (Å, degrees): 4.002 6.928 6.931 70.52 90.00 90.00
Fractional coordinates of all 8 atoms:
Sm 0.500 0.500 0.000
Ho 0.000 0.500 0.500
Pa 0.000 0.000 0.000
Pa 0.500 0.000 0.500
P 0.000 0.759 0.744
P 0.000 0.241 0.256
P 0.500 0.756 0.251
P 0.500 0.244 0.749

---

Record 12
VASP calculation (GGA-PBE) on an optimized crystal structure of Ag4IrPt.

Values from the calculation:
Formation enthalpy at 0 K = 0.608 eV/atom
Crystal system = cubic

Lattice parameters (Å, degrees): 5.285 5.285 5.285 60.00 60.00 60.00
Last column: magnetic moment on the atom in μB.
Fractional coordinates of all 6 atoms:
Ag 0.875 0.375 0.375  0.00
Ag 0.375 0.375 0.875  0.00
Ag 0.375 0.875 0.375  0.00
Ag 0.375 0.375 0.375  0.00
Ir 0.750 0.750 0.750  0.24
Pt 0.000 0.000 0.000  0.06

---

Record 13
VASP calculation (GGA-PBE) on an optimized crystal structure of Nd2Sm4Er3.

Values from the calculation:
Formation enthalpy at 0 K = 0.087 eV/atom
Crystal system = monoclinic

Lattice parameters (Å, degrees): 3.550 9.740 11.671 49.63 98.75 90.00
Fractional coordinates of all 9 atoms:
Nd 0.341 0.113 0.681
Nd 0.659 0.887 0.319
Sm 0.487 0.345 0.973
Sm 0.845 0.783 0.690
Sm 0.513 0.655 0.027
Sm 0.155 0.217 0.310
Er 0.829 0.442 0.659
Er 0.171 0.558 0.341
Er 0.000 0.000 0.000

---

Record 14
VASP calculation (GGA-PBE) on an optimized crystal structure of Dy12Y2Sc.

Values from the calculation:
Formation enthalpy at 0 K = 0.122 eV/atom
Crystal system = monoclinic

Lattice parameters (Å, degrees): 6.627 6.627 24.285 85.33 94.67 63.79
Fractional coordinates of all 30 atoms:
Dy 0.575 0.476 0.803
Dy 0.024 0.925 0.803
Dy 0.793 0.707 0.886
Dy 0.347 0.616 0.933
Dy 0.038 0.973 0.328
Dy 0.153 0.884 0.067
Dy 0.664 0.351 0.556
Dy 0.527 0.462 0.328
Dy 0.291 0.209 0.852
Dy 0.707 0.793 0.114
Dy 0.175 0.325 0.580
Dy 0.836 0.149 0.444
Dy 0.973 0.038 0.672
Dy 0.325 0.175 0.420
Dy 0.209 0.291 0.148
Dy 0.844 0.656 0.429
Dy 0.656 0.844 0.571
Dy 0.925 0.024 0.197
Dy 0.149 0.836 0.556
Dy 0.462 0.527 0.672
Dy 0.884 0.153 0.933
Dy 0.476 0.575 0.197
Dy 0.351 0.664 0.444
Dy 0.616 0.347 0.067
Y 0.510 0.990 0.279
Y 0.000 0.500 0.272
Y 0.990 0.510 0.721
Y 0.500 0.000 0.728
Sc 0.483 0.017 0.985
Sc 0.017 0.483 0.015

---

Record 15
VASP calculation (GGA-PBE) on an optimized crystal structure of Tm3SiBi2.

Values from the calculation:
Crystal system = monoclinic
Formation energy from raw total energies = -652 meV/atom

Lattice parameters (Å, degrees): 7.309 7.481 7.481 118.47 99.69 99.69
Fractional coordinates of all 12 atoms:
Tm 0.009 0.210 0.359
Tm 0.509 0.359 0.210
Tm 0.000 0.500 0.000
Tm 0.991 0.790 0.641
Tm 0.500 0.000 0.500
Tm 0.491 0.641 0.790
Si 0.250 0.591 0.409
Si 0.750 0.409 0.591
Bi 0.250 0.920 0.080
Bi 0.250 0.238 0.762
Bi 0.750 0.080 0.920
Bi 0.750 0.762 0.238

---

Record 16
VASP calculation (GGA-PBE) on an optimized crystal structure of ZnH.

Values from the calculation:
Crystal system = tetragonal
Electronic total energy = -1.94 eV/atom

Lattice parameters (Å, degrees): 6.504 6.504 2.700 90.00 90.00 90.00
Fractional coordinates of all 8 atoms:
Zn 0.370 0.370 0.000
Zn 0.870 0.130 0.500
Zn 0.130 0.870 0.500
Zn 0.630 0.630 0.000
H 0.253 0.747 0.000
H 0.753 0.753 0.500
H 0.247 0.247 0.500
H 0.747 0.253 0.000

---

Record 17
VASP calculation (GGA-PBE) on an optimized crystal structure of Ba2PuSnS6.

Values from the calculation:
Crystal system = monoclinic
Formation energy from raw total energies = -1381 meV/atom

Lattice parameters (Å, degrees): 7.140 7.337 10.235 90.00 90.24 90.00
Last column: magnetic moment on the atom in μB.
Fractional coordinates of all 20 atoms:
Ba 0.016 0.940 0.248  0.00
Ba 0.516 0.560 0.748  0.00
Ba 0.984 0.060 0.752  0.00
Ba 0.484 0.440 0.252  0.00
Pu 0.500 0.000 0.000  4.48
Pu 0.000 0.500 0.500  4.48
Sn 0.500 0.000 0.500  0.04
Sn 0.000 0.500 0.000  0.04
S 0.293 0.703 0.040  -0.07
S 0.793 0.797 0.540  -0.07
S 0.707 0.297 0.960  -0.07
S 0.207 0.203 0.460  -0.07
S 0.297 0.708 0.462  -0.08
S 0.797 0.792 0.962  -0.08
S 0.703 0.292 0.538  -0.08
S 0.203 0.208 0.038  -0.08
S 0.925 0.508 0.248  -0.07
S 0.425 0.992 0.748  -0.07
S 0.075 0.492 0.752  -0.07
S 0.575 0.008 0.252  -0.07

---

Record 18
VASP calculation (GGA-PBE) on an optimized crystal structure of PmTmPu.

Values from the calculation:
Formation enthalpy at 0 K = 0.189 eV/atom
Crystal system = hexagonal

Lattice parameters (Å, degrees): 5.595 5.595 13.336 90.00 90.00 120.00
Last column: magnetic moment on the atom in μB.
Fractional coordinates of all 12 atoms:
Tm 0.667 0.333 0.118  0.17
Tm 0.667 0.333 0.382  0.17
Tm 0.333 0.667 0.882  0.17
Tm 0.333 0.667 0.618  0.17
Pu 0.667 0.333 0.857  5.56
Pu 0.667 0.333 0.643  5.56
Pu 0.333 0.667 0.143  5.56
Pu 0.333 0.667 0.357  5.56
Pm 0.000 0.000 0.750  0.09
Pm 0.000 0.000 0.250  0.09
Pm 0.000 0.000 0.500  -0.01
Pm 0.000 0.000 0.000  -0.01

---

Record 19
VASP calculation (GGA-PBE) on an optimized crystal structure of RbLi2TlPt.

Values from the calculation:
Formation enthalpy at 0 K = -0.198 eV/atom
Crystal system = tetragonal

Lattice parameters (Å, degrees): 5.165 5.165 5.297 90.00 90.00 90.00
Fractional coordinates of all 5 atoms:
Tl 0.000 0.000 0.500
Rb 0.500 0.500 0.500
Pt 0.000 0.000 0.000
Li 0.000 0.500 0.000
Li 0.500 0.000 0.000

---

Record 20
VASP calculation (GGA-PBE) on an optimized crystal structure of Mn7Te6.

Values from the calculation:
Crystal system = trigonal
Formation energy from raw total energies = 146 meV/atom

Lattice parameters (Å, degrees): 10.650 10.650 10.650 30.56 30.56 30.56
Last column: magnetic moment on the atom in μB.
Fractional coordinates of all 13 atoms:
Te 0.924 0.924 0.924  0.02
Te 0.076 0.076 0.076  0.02
Te 0.809 0.809 0.809  -0.07
Te 0.191 0.191 0.191  -0.07
Te 0.666 0.666 0.666  -0.06
Te 0.334 0.334 0.334  -0.06
Mn 0.915 0.431 0.431  3.19
Mn 0.431 0.431 0.915  3.19
Mn 0.431 0.915 0.431  3.19
Mn 0.085 0.569 0.569  3.19
Mn 0.569 0.085 0.569  3.19
Mn 0.569 0.569 0.085  3.19
Mn 0.500 0.500 0.500  4.22

---

Record 21
VASP calculation (GGA-PBE) on an optimized crystal structure of B7N6.

Values from the calculation:
Crystal system = cubic
Formation energy from raw total energies = -237 meV/atom

Lattice parameters (Å, degrees): 4.509 4.509 4.509 90.00 90.00 90.00
Last column: magnetic moment on the atom in μB.
Fractional coordinates of all 13 atoms:
B 0.500 0.500 0.500  0.41
B 0.253 0.000 0.500  0.02
B 0.000 0.500 0.253  0.02
B 0.500 0.747 0.000  0.02
B 0.747 0.000 0.500  0.02
B 0.000 0.500 0.747  0.02
B 0.500 0.253 0.000  0.02
N 0.000 0.248 0.500  0.01
N 0.000 0.752 0.500  0.01
N 0.500 0.000 0.752  0.01
N 0.752 0.500 0.000  0.01
N 0.500 0.000 0.248  0.01
N 0.248 0.500 0.000  0.01

---

Record 22
VASP calculation (GGA-PBE) on an optimized crystal structure of BaNdZn4.

Values from the calculation:
Formation enthalpy at 0 K = -0.142 eV/atom
Crystal system = cubic

Lattice parameters (Å, degrees): 5.793 5.793 5.793 60.00 60.00 60.00
Fractional coordinates of all 6 atoms:
Zn 0.628 0.628 0.116
Zn 0.628 0.116 0.628
Zn 0.628 0.628 0.628
Zn 0.116 0.628 0.628
Nd 0.000 0.000 0.000
Ba 0.250 0.250 0.250